The following is a PBE calculation of crystalline Ac3Pr4Au4 at its relaxed geometry, from Alexandria.

a = 5.099 Å, b = 8.147 Å, c = 9.633 Å
α = 115.02°, β = 105.35°, γ = 90.00°
Atoms (fractional coordinates):
1 Pr 0.327 0.113 0.654
2 Pr 0.673 0.887 0.346
3 Au 0.207 0.707 0.414
4 Pr 0.673 0.459 0.346
5 Ac 0.895 0.895 0.790
6 Au 0.793 0.293 0.586
7 Ac 0.000 0.500 0.000
8 Ac 0.105 0.105 0.210
9 Au 0.500 0.189 0.000
10 Au 0.500 0.811 0.000
11 Pr 0.327 0.541 0.654

**Raw total energy**: -4.570 eV/atom
**Total moment**: 0.000 μB per atom
**Calculated volume**: 346.8 Å³/cell
**DFT formation energy**: -552 kJ/mol of formula units
**Symmetry**: Immm (71)